Entry i
Compound: MnTcTe2
Source: Alexandria via LeMat-Bulk
Functional: SCAN
Structure: PBEsol geometry

a b c (Å): 3.245 3.245 8.741
angles (deg): 79.30 79.30 60.00
Positions (direct):
Te 0.098 0.098 0.705
Mn 0.500 0.500 0.500
Tc 0.000 0.000 0.000
Te 0.902 0.902 0.295

Computed properties:
- crystal system = trigonal
- total magnetization (μB/cell) = 1.8

---

Entry ii
Compound: MnTcTe2
Source: Alexandria via LeMat-Bulk
Functional: SCAN
Structure: PBEsol geometry

a b c (Å): 4.671 4.671 4.671
angles (deg): 60.00 60.00 60.00
Positions (direct):
Te 0.250 0.250 0.250
Mn 0.000 0.000 0.000
Te 0.750 0.750 0.750
Tc 0.500 0.500 0.500

Computed properties:
- crystal system = cubic
- total magnetization (μB/cell) = 5.0

---

Entry iii
Compound: MnTcTe2
Source: Alexandria via LeMat-Bulk
Functional: SCAN
Structure: PBEsol geometry

a b c (Å): 3.355 4.345 5.861
angles (deg): 101.61 90.00 112.71
Positions (direct):
Te 0.743 0.486 0.740
Te 0.257 0.514 0.260
Mn 0.500 0.000 0.000
Tc 0.000 0.000 0.500

Computed properties:
- crystal system = monoclinic
- total magnetization (μB/cell) = 4.4

---

Most stable structure, least stable structure: entry iii, entry i.

---

Entry i
Compound: MnTlTc2
Source: Alexandria via LeMat-Bulk
Functional: SCAN
Structure: PBEsol geometry

a b c (Å): 2.917 2.917 7.093
angles (deg): 90.00 90.00 90.00
Positions (direct):
Tc 0.000 0.000 0.701
Tc 0.000 0.000 0.299
Tl 0.500 0.500 0.000
Mn 0.500 0.500 0.500

Computed properties:
- crystal system = tetragonal
- total magnetization (μB/cell) = 1.3

---

Entry ii
Compound: MnTlTc2
Source: Alexandria via LeMat-Bulk
Functional: SCAN
Structure: PBEsol geometry

a b c (Å): 4.442 4.442 4.442
angles (deg): 60.00 60.00 60.00
Positions (direct):
Tl 0.250 0.250 0.250
Tc 0.000 0.000 0.000
Tc 0.750 0.750 0.750
Mn 0.500 0.500 0.500

Computed properties:
- crystal system = cubic
- total magnetization (μB/cell) = 4.3

---

Most stable structure, least stable structure: entry i, entry ii.